Density functional theory data (PBE) for a relaxed structure of Ac7Tl2Cd2.

a b c (Å): 7.413 8.792 7.413
angles (deg): 90.00 111.87 90.00
Atoms (fractional coordinates):
Tl (0.183, 0.500, 0.183)
Ac (0.000, 0.290, 0.500)
Ac (0.000, 0.000, 0.000)
Ac (0.500, 0.244, 0.500)
Cd (0.714, 0.000, 0.286)
Ac (0.500, 0.710, 0.000)
Cd (0.286, 0.000, 0.714)
Ac (0.500, 0.290, 0.000)
Ac (0.500, 0.756, 0.500)
Ac (0.000, 0.710, 0.500)
Tl (0.817, 0.500, 0.817)

Computed properties:
ΔH_f (0 K)   0.000 eV per atom
Spin magnetization   0.00 μB per formula unit

---

Density functional theory data (PBE) for a relaxed structure of Ac5Tl2Cd.

a b c (Å): 9.408 9.408 9.551
angles (deg): 119.50 119.50 90.00
Atoms (fractional coordinates):
Tl (0.145, 0.355, 0.000)
Ac (0.504, 0.696, 0.701)
Ac (0.496, 0.304, 0.299)
Ac (0.004, 0.504, 0.701)
Cd (0.250, 0.250, 0.500)
Tl (0.855, 0.645, 0.000)
Ac (0.000, 0.000, 0.000)
Ac (0.196, 0.004, 0.701)
Ac (0.996, 0.496, 0.299)
Ac (0.304, 0.804, 0.299)
Ac (0.804, 0.996, 0.299)
Cd (0.750, 0.750, 0.500)
Ac (0.500, 0.500, 0.000)
Tl (0.355, 0.855, 0.000)
Ac (0.696, 0.196, 0.701)
Tl (0.645, 0.145, 0.000)

Computed properties:
ΔH_f (0 K)   -0.236 eV per atom
Spin magnetization   0.00 μB per formula unit

---

Density functional theory data (PBE) for a relaxed structure of Ac4Tl5Cd3.

a b c (Å): 5.355 9.355 9.277
angles (deg): 74.52 73.23 73.37
Atoms (fractional coordinates):
Tl (0.500, 0.500, 0.500)
Ac (0.263, 0.736, 0.738)
Ac (0.019, 0.167, 0.795)
Tl (0.606, 0.871, 0.918)
Tl (0.790, 0.521, 0.898)
Cd (0.280, 0.018, 0.422)
Cd (0.000, 0.500, 0.500)
Ac (0.737, 0.264, 0.262)
Tl (0.394, 0.129, 0.082)
Cd (0.720, 0.982, 0.578)
Ac (0.981, 0.833, 0.205)
Tl (0.210, 0.479, 0.102)

Computed properties:
ΔH_f (0 K)   -0.143 eV per atom
Spin magnetization   0.00 μB per formula unit

---

Density functional theory data (PBE) for a relaxed structure of AcTl2Cd.

a b c (Å): 5.471 3.969 11.496
angles (deg): 99.94 90.00 90.00
Atoms (fractional coordinates):
Tl (0.250, 0.268, 0.536)
Tl (0.750, 0.732, 0.464)
Tl (0.250, 0.535, 0.069)
Cd (0.750, 0.336, 0.671)
Tl (0.750, 0.465, 0.931)
Cd (0.250, 0.664, 0.329)
Ac (0.250, 0.902, 0.804)
Ac (0.750, 0.098, 0.196)

Computed properties:
ΔH_f (0 K)   -0.217 eV per atom
Spin magnetization   0.00 μB per formula unit

---

Density functional theory data (PBE) for a relaxed structure of Ac2Tl5Cd3.

a b c (Å): 6.956 9.935 9.935
angles (deg): 77.14 69.51 69.51
Atoms (fractional coordinates):
Ac (0.872, 0.384, 0.871)
Cd (0.870, 0.760, 0.501)
Ac (0.372, 0.871, 0.384)
Tl (0.112, 0.035, 0.741)
Tl (0.008, 0.242, 0.242)
Cd (0.750, 0.000, 0.000)
Cd (0.370, 0.501, 0.760)
Ac (0.628, 0.129, 0.616)
Tl (0.250, 0.500, 0.500)
Cd (0.630, 0.499, 0.240)
Ac (0.128, 0.616, 0.129)
Tl (0.750, 0.500, 0.500)
Cd (0.130, 0.240, 0.499)
Tl (0.388, 0.259, 0.965)
Cd (0.250, 0.000, 0.000)
Tl (0.508, 0.242, 0.242)
Tl (0.612, 0.741, 0.035)
Tl (0.992, 0.758, 0.758)
Tl (0.492, 0.758, 0.758)
Tl (0.888, 0.965, 0.259)

Computed properties:
ΔH_f (0 K)   -0.165 eV per atom
Spin magnetization   0.00 μB per formula unit

---

Density functional theory data (PBE) for a relaxed structure of AcTl2Cd6.

a b c (Å): 3.748 8.920 8.920
angles (deg): 60.44 78.02 78.02
Atoms (fractional coordinates):
Cd (0.500, 0.330, 0.670)
Tl (0.139, 0.357, 0.357)
Cd (0.500, 0.670, 0.330)
Cd (0.327, 0.353, 0.002)
Cd (0.327, 0.002, 0.353)
Ac (0.000, 0.000, 0.000)
Tl (0.861, 0.643, 0.643)
Cd (0.673, 0.647, 0.998)
Cd (0.673, 0.998, 0.647)

Computed properties:
ΔH_f (0 K)   -0.069 eV per atom
Spin magnetization   0.00 μB per formula unit